# ThCdSn2 | OQMD via LeMat-Bulk | PBE | relaxed
# Calculated total energy: -18.0 eV/f.u.
# SG: P4/mmm, No. 123
data_ThCdSn2
_chemical_formula_sum 'Th1 Cd1 Sn2'
_space_group_name_H-M_alt 'P 1'
_space_group_IT_number 1
_cell_length_a 4.823
_cell_length_b 4.823
_cell_length_c 4.535
_cell_angle_alpha 90.00
_cell_angle_beta 90.00
_cell_angle_gamma 90.00
loop_
_space_group_symop_operation_xyz
'x,y,z'
loop_
_atom_site_label
_atom_site_fract_x
_atom_site_fract_y
_atom_site_fract_z
Cd1 0.000 0.000 0.500
Th1 0.500 0.500 0.500
Sn1 0.500 0.000 0.000
Sn2 0.000 0.500 0.000